Run one
This record from Alexandria via LeMat-Bulk describes a geometry-optimized PIrSeBr2 structure. The functional is PBE-GGA.

a b c (Å): 5.048 5.048 4.818
angles (deg): 90.00 90.00 90.00
Atoms (fractional coordinates):
P (0.500, 0.500, 0.500)
Ir (0.000, 0.000, 0.000)
Se (0.000, 0.000, 0.500)
Br (0.000, 0.500, 0.000)
Br (0.500, 0.000, 0.000)

## Properties
Magnetization = 0.002 μB/f.u.
Density = 6.2 g/cm3
Density of states at the Fermi level = 0.78 states/eV per atom

=====

Run two
This record from Alexandria via LeMat-Bulk describes a geometry-optimized PIrSeBr2 structure. The functional is PBE-GGA.

a b c (Å): 4.886 4.886 5.044
angles (deg): 90.00 90.00 90.00
Site moments in Bohr magnetons follow the coordinates.
Atoms (fractional coordinates):
P (0.000, 0.000, 0.000)  0.01
Ir (0.500, 0.500, 0.500)  2.07
Se (0.000, 0.000, 0.500)  0.13
Br (0.000, 0.500, 0.000)  0.10
Br (0.500, 0.000, 0.000)  0.10

## Properties
Magnetization = 2.652 μB/f.u.
Density = 6.4 g/cm3
Density of states at the Fermi level = 1.37 states/eV per atom

=====

The least stable of them is run two.

=====

Run one
This record from Alexandria via LeMat-Bulk describes a geometry-optimized IrPb2Br structure. The functional is PBE-GGA.

a b c (Å): 8.326 8.326 8.326
angles (deg): 154.65 152.77 37.55
Atoms (fractional coordinates):
Pb (0.071, 0.071, 0.000)
Pb (0.768, 0.268, 0.500)
Ir (0.207, 0.707, 0.500)
Br (0.454, 0.454, 0.000)

## Properties
Magnetization = 0.000 μB/f.u.
Density = 10.1 g/cm3
Density of states at the Fermi level = 0.53 states/eV per atom

=====

Run two
This record from Alexandria via LeMat-Bulk describes a geometry-optimized IrPb2Br structure. The functional is PBE-GGA.

a b c (Å): 3.462 3.454 8.213
angles (deg): 90.00 90.00 90.00
Atoms (fractional coordinates):
Pb (0.000, 0.000, 0.963)
Pb (0.000, 0.000, 0.537)
Ir (0.500, 0.500, 0.750)
Br (0.500, 0.500, 0.250)

## Properties
Magnetization = 0.029 μB/f.u.
Density = 11.6 g/cm3
Density of states at the Fermi level = 0.52 states/eV per atom

=====

Run three
This record from Alexandria via LeMat-Bulk describes a geometry-optimized IrPb2Br structure. The functional is PBE-GGA.

a b c (Å): 3.561 3.561 7.924
angles (deg): 90.00 90.00 90.00
Atoms (fractional coordinates):
Pb (0.000, 0.000, 0.946)
Pb (0.500, 0.500, 0.242)
Ir (0.500, 0.500, 0.794)
Br (0.000, 0.000, 0.518)

## Properties
Magnetization = 0.000 μB/f.u.
Density = 11.3 g/cm3
Density of states at the Fermi level = 0.71 states/eV per atom

=====

The least stable of them is run three.

=====

Run one
This record from Alexandria via LeMat-Bulk describes a geometry-optimized IrPb2Br structure. The functional is PBE-GGA.

a b c (Å): 5.422 5.422 5.422
angles (deg): 130.89 116.48 84.23
Atoms (fractional coordinates):
Pb (0.036, 0.036, 0.000)
Pb (0.464, 0.464, 0.000)
Ir (0.250, 0.750, 0.500)
Br (0.750, 0.250, 0.500)

## Properties
Magnetization = 0.000 μB/f.u.
Density = 11.0 g/cm3
Density of states at the Fermi level = 0.81 states/eV per atom

=====

Run two
This record from Alexandria via LeMat-Bulk describes a geometry-optimized IrPb2Br structure. The functional is PBE-GGA.

a b c (Å): 3.920 3.919 7.947
angles (deg): 90.00 90.00 90.00
Atoms (fractional coordinates):
Pb (0.000, 0.000, 0.888)
Pb (0.500, 0.500, 0.256)
Ir (0.500, 0.500, 0.922)
Br (0.000, 0.000, 0.435)

## Properties
Magnetization = 0.000 μB/f.u.
Density = 9.3 g/cm3
Density of states at the Fermi level = 0.22 states/eV per atom

=====

The least stable of them is run one.

=====

Run one
This record from Alexandria via LeMat-Bulk describes a geometry-optimized IrPb2Br structure. The functional is PBE-GGA.

a b c (Å): 9.729 9.729 9.729
angles (deg): 20.81 20.81 20.81
Atoms (fractional coordinates):
Pb (0.018, 0.018, 0.018)
Pb (0.243, 0.243, 0.243)
Ir (0.750, 0.750, 0.750)
Br (0.489, 0.489, 0.489)

## Properties
Magnetization = 0.000 μB/f.u.
Density = 11.2 g/cm3
Density of states at the Fermi level = 0.70 states/eV per atom

=====

Run two
This record from Alexandria via LeMat-Bulk describes a geometry-optimized IrPb2Br structure. The functional is PBE-GGA.

a b c (Å): 5.163 5.163 5.163
angles (deg): 60.00 60.00 60.00
Atoms (fractional coordinates):
Pb (0.250, 0.250, 0.250)
Pb (0.750, 0.750, 0.750)
Ir (0.500, 0.500, 0.500)
Br (0.000, 0.000, 0.000)

## Properties
Magnetization = 0.000 μB/f.u.
Density = 11.7 g/cm3
Density of states at the Fermi level = 0.27 states/eV per atom

=====

The least stable of them is run two.

=====

Run one
This record from Alexandria via LeMat-Bulk describes a geometry-optimized IrPb2Br structure. The functional is PBE-GGA.

a b c (Å): 5.149 5.149 5.149
angles (deg): 60.00 60.00 60.00
Atoms (fractional coordinates):
Pb (0.000, 0.000, 0.000)
Pb (0.250, 0.250, 0.250)
Ir (0.750, 0.750, 0.750)
Br (0.500, 0.500, 0.500)

## Properties
Magnetization = 0.000 μB/f.u.
Density = 11.8 g/cm3
Density of states at the Fermi level = 0.82 states/eV per atom

=====

Run two
This record from Alexandria via LeMat-Bulk describes a geometry-optimized IrPb2Br structure. The functional is PBE-GGA.

a b c (Å): 6.818 6.818 6.818
angles (deg): 144.80 144.80 50.63
Atoms (fractional coordinates):
Pb (0.000, 0.000, 0.000)
Pb (0.250, 0.750, 0.500)
Ir (0.750, 0.250, 0.500)
Br (0.500, 0.500, 0.000)

## Properties
Magnetization = 0.000 μB/f.u.
Density = 10.9 g/cm3
Density of states at the Fermi level = 0.58 states/eV per atom

=====

Run three
This record from Alexandria via LeMat-Bulk describes a geometry-optimized IrPb2Br structure. The functional is PBE-GGA.

a b c (Å): 6.822 6.822 7.950
angles (deg): 64.59 64.59 90.00
Atoms (fractional coordinates):
Pb (0.696, 0.125, 0.250)
Pb (0.054, 0.625, 0.250)
Pb (0.375, 0.304, 0.750)
Pb (0.875, 0.946, 0.750)
Ir (0.000, 0.000, 0.000)
Ir (0.750, 0.250, 0.500)
Br (0.500, 0.500, 0.000)
Br (0.250, 0.750, 0.500)

## Properties
Magnetization = 0.000 μB/f.u.
Density = 7.8 g/cm3
Density of states at the Fermi level = 0.07 states/eV per atom

=====

Run four
This record from Alexandria via LeMat-Bulk describes a geometry-optimized IrPb2Br structure. The functional is PBE-GGA.

a b c (Å): 5.377 3.591 5.950
angles (deg): 72.36 90.00 90.00
Atoms (fractional coordinates):
Pb (0.000, 0.870, 0.886)
Pb (0.500, 0.173, 0.278)
Ir (0.500, 0.860, 0.905)
Br (0.000, 0.598, 0.431)

## Properties
Magnetization = 0.000 μB/f.u.
Density = 10.4 g/cm3
Density of states at the Fermi level = 0.31 states/eV per atom

=====

The least stable of them is run one.

=====

Run one
This record from Alexandria via LeMat-Bulk describes a geometry-optimized IrPbBr2 structure. The functional is PBE-GGA.

a b c (Å): 6.342 6.342 6.342
angles (deg): 141.85 141.85 55.05
Site moments in Bohr magnetons follow the coordinates.
Atoms (fractional coordinates):
Pb (0.750, 0.250, 0.500)  -0.01
Ir (0.500, 0.500, 0.000)  0.44
Br (0.000, 0.000, 0.000)  0.01
Br (0.250, 0.750, 0.500)  0.03

## Properties
Magnetization = 0.483 μB/f.u.
Density = 9.6 g/cm3
Density of states at the Fermi level = 1.39 states/eV per atom

=====

Run two
This record from Alexandria via LeMat-Bulk describes a geometry-optimized IrPbBr2 structure. The functional is PBE-GGA.

a b c (Å): 5.077 5.077 5.077
angles (deg): 60.00 60.00 60.00
Site moments in Bohr magnetons follow the coordinates.
Atoms (fractional coordinates):
Pb (0.250, 0.250, 0.250)  -0.01
Ir (0.500, 0.500, 0.500)  0.81
Br (0.000, 0.000, 0.000)  0.11
Br (0.750, 0.750, 0.750)  0.06

## Properties
Magnetization = 0.981 μB/f.u.
Density = 10.0 g/cm3
Density of states at the Fermi level = 1.56 states/eV per atom

=====

Run three
This record from Alexandria via LeMat-Bulk describes a geometry-optimized IrPbBr2 structure. The functional is PBE-GGA.

a b c (Å): 5.058 5.058 9.308
angles (deg): 74.23 74.23 90.00
Atoms (fractional coordinates):
Pb (0.000, 0.000, 0.000)
Pb (0.750, 0.250, 0.500)
Ir (0.500, 0.500, 0.000)
Ir (0.250, 0.750, 0.500)
Br (0.555, 0.125, 0.250)
Br (0.195, 0.625, 0.250)
Br (0.375, 0.445, 0.750)
Br (0.875, 0.805, 0.750)

## Properties
Magnetization = 0.000 μB/f.u.
Density = 8.4 g/cm3
Density of states at the Fermi level = 0.98 states/eV per atom

=====

Run four
This record from Alexandria via LeMat-Bulk describes a geometry-optimized IrPbBr2 structure. The functional is PBE-GGA.

a b c (Å): 8.208 8.208 8.208
angles (deg): 28.09 28.09 28.09
Atoms (fractional coordinates):
Pb (0.769, 0.769, 0.769)
Ir (0.500, 0.500, 0.500)
Br (0.013, 0.013, 0.013)
Br (0.218, 0.218, 0.218)

## Properties
Magnetization = 0.001 μB/f.u.
Density = 8.6 g/cm3
Density of states at the Fermi level = 1.04 states/eV per atom

=====

The least stable of them is run two.

=====

Run one
This record from Alexandria via LeMat-Bulk describes a geometry-optimized IrPbBr2 structure. The functional is PBE-GGA.

a b c (Å): 4.291 5.706 5.702
angles (deg): 52.90 90.00 90.00
Atoms (fractional coordinates):
Pb (0.500, 0.671, 0.671)
Ir (0.000, 0.515, 0.515)
Br (0.000, 0.972, 0.972)
Br (0.500, 0.342, 0.342)

## Properties
Magnetization = 0.000 μB/f.u.
Density = 8.3 g/cm3
Density of states at the Fermi level = 0.71 states/eV per atom

=====

Run two
This record from Alexandria via LeMat-Bulk describes a geometry-optimized IrPbBr2 structure. The functional is PBE-GGA.

a b c (Å): 5.114 5.114 5.114
angles (deg): 60.00 60.00 60.00
Site moments in Bohr magnetons follow the coordinates.
Atoms (fractional coordinates):
Pb (0.500, 0.500, 0.500)  -0.02
Ir (0.000, 0.000, 0.000)  1.18
Br (0.250, 0.250, 0.250)  0.07
Br (0.750, 0.750, 0.750)  0.07

## Properties
Magnetization = 1.318 μB/f.u.
Density = 9.8 g/cm3
Density of states at the Fermi level = 1.12 states/eV per atom

=====

Run three
This record from Alexandria via LeMat-Bulk describes a geometry-optimized IrPbBr2 structure. The functional is PBE-GGA.

a b c (Å): 3.626 3.626 9.333
angles (deg): 90.00 90.00 121.17
Site moments in Bohr magnetons follow the coordinates.
Atoms (fractional coordinates):
Pb (0.500, 0.500, 0.750)  0.00
Ir (0.500, 0.500, 0.250)  0.37
Br (0.000, 0.000, 0.064)  0.01
Br (0.000, 0.000, 0.436)  0.01

## Properties
Magnetization = 0.416 μB/f.u.
Density = 8.8 g/cm3
Density of states at the Fermi level = 0.65 states/eV per atom

=====

The least stable of them is run two.

=====

Run one
This record from Alexandria via LeMat-Bulk describes a geometry-optimized IrPbBr2 structure. The functional is PBE-GGA.

a b c (Å): 3.492 3.494 7.583
angles (deg): 90.00 90.00 90.00
Site moments in Bohr magnetons follow the coordinates.
Atoms (fractional coordinates):
Pb (0.500, 0.500, 0.750)  -0.05
Ir (0.500, 0.500, 0.250)  1.08
Br (0.000, 0.000, 0.038)  0.09
Br (0.000, 0.000, 0.462)  0.09

## Properties
Magnetization = 1.199 μB/f.u.
Density = 10.0 g/cm3
Density of states at the Fermi level = 0.85 states/eV per atom

=====

Run two
This record from Alexandria via LeMat-Bulk describes a geometry-optimized IrPbBr2 structure. The functional is PBE-GGA.

a b c (Å): 3.549 3.549 8.214
angles (deg): 90.00 90.00 93.16
Atoms (fractional coordinates):
Pb (0.500, 0.500, 0.728)
Ir (0.000, 0.000, 0.452)
Br (0.000, 0.000, 0.966)
Br (0.500, 0.500, 0.354)

## Properties
Magnetization = 0.000 μB/f.u.
Density = 9.0 g/cm3
Density of states at the Fermi level = 0.60 states/eV per atom

=====

The least stable of them is run one.